Record 1
# Dy2Y12Th5

An optimized crystal structure of Dy2Y12Th5 (PBE, the Alexandria database).

Properties
- E (eV for the cell shown) = -119.8

Structure (POSCAR):
```
Dy2Y12Th5
1.0
9.375 -3.531 0.000
9.375 3.531 0.000
-3.979 0.000 9.450
Dy Y Th
2 12 5
direct
0.216 0.784 0.000 Dy
0.784 0.216 0.000 Dy
0.004 0.004 0.324 Y
0.084 0.582 0.480 Y
0.096 0.588 0.136 Y
0.412 0.904 0.864 Y
0.418 0.916 0.520 Y
0.471 0.471 0.762 Y
0.529 0.529 0.238 Y
0.582 0.084 0.480 Y
0.588 0.096 0.136 Y
0.904 0.412 0.864 Y
0.916 0.418 0.520 Y
0.996 0.996 0.676 Y
0.176 0.176 0.208 Th
0.315 0.315 0.820 Th
0.500 0.500 0.500 Th
0.685 0.685 0.180 Th
0.824 0.824 0.792 Th
```

***

Record 2
# Dy6YTh

An optimized crystal structure of Dy6YTh (PBE, the Alexandria database).

Properties
- distance to the lowest polymorph of the same formula (meV per atom) = 0

Structure (POSCAR):
```
Dy6YTh
1.0
5.035 0.000 0.000
0.000 5.035 0.000
0.000 0.000 9.992
Dy Y Th
6 1 1
direct
0.000 0.000 0.000 Dy
0.000 0.000 0.500 Dy
0.000 0.500 0.247 Dy
0.000 0.500 0.753 Dy
0.500 0.000 0.247 Dy
0.500 0.000 0.753 Dy
0.500 0.500 0.500 Y
0.500 0.500 0.000 Th
```

***

Record 3
# DyYTh

An optimized crystal structure of DyYTh (PBE, the Alexandria database).

Properties
- distance to the lowest polymorph of the same formula (meV per atom) = 3

Structure (POSCAR):
```
DyYTh
1.0
-1.792 1.792 7.511
1.792 -1.792 7.511
1.792 1.792 -7.511
Dy Y Th
1 1 1
direct
0.000 0.000 0.000 Dy
0.322 0.322 0.000 Y
0.660 0.660 0.000 Th
```